No. 1
# RbHgPdS2, optimized geometry, DFT PBE-GGA
data_RbHgPdS2
_cell_length_a 4.932
_cell_length_b 4.932
_cell_length_c 5.274
_cell_angle_alpha 90.00
_cell_angle_beta 90.00
_cell_angle_gamma 90.00
_space_group_name_H-M_alt 'P 1'
_space_group_IT_number 1
_space_group_name_Hall 'P 1'
loop_
_atom_site_label
_atom_site_fract_x
_atom_site_fract_y
_atom_site_fract_z
Rb1 0.000 0.000 0.000
Hg1 0.500 0.500 0.000
Pd1 0.500 0.500 0.500
S1 0.000 0.500 0.500
S2 0.500 0.000 0.500
# E_form (uncorrected) ... -0.207 eV/atom
# Density of states at the Fermi level ... 4.9 states/eV/f.u.
# Calculated total energy ... -15.752 eV/f.u.
# Total moment ... 0.007 μB per formula unit

---

No. 2
# Tl2HgCl, optimized geometry, DFT PBE-GGA
data_Tl2HgCl
_cell_length_a 4.571
_cell_length_b 6.346
_cell_length_c 4.447
_cell_angle_alpha 90.00
_cell_angle_beta 90.00
_cell_angle_gamma 90.00
_space_group_name_H-M_alt 'P 1'
_space_group_IT_number 1
_space_group_name_Hall 'P 1'
loop_
_atom_site_label
_atom_site_fract_x
_atom_site_fract_y
_atom_site_fract_z
Tl1 0.000 0.000 0.000
Tl2 0.500 0.500 0.499
Hg1 0.500 0.000 0.500
Cl1 0.000 0.500 0.999
# E_form (uncorrected) ... -0.447 eV/atom
# Density of states at the Fermi level ... 2.1 states/eV/f.u.
# Calculated total energy ... -8.668 eV/f.u.
# Total moment ... 0.000 μB per formula unit

---

No. 3
# BaTaPIr2, optimized geometry, DFT PBE-GGA
data_BaTaPIr2
_cell_length_a 4.640
_cell_length_b 4.640
_cell_length_c 4.756
_cell_angle_alpha 90.00
_cell_angle_beta 90.00
_cell_angle_gamma 90.00
_space_group_name_H-M_alt 'P 1'
_space_group_IT_number 1
_space_group_name_Hall 'P 1'
loop_
_atom_site_label
_atom_site_fract_x
_atom_site_fract_y
_atom_site_fract_z
Ba1 0.000 0.000 0.000
Ta1 0.500 0.500 0.000
P1 0.500 0.500 0.500
Ir1 0.000 0.500 0.500
Ir2 0.500 0.000 0.500
# Density of states at the Fermi level ... 5.5 states/eV/f.u.
# Calculated total energy ... -35.306 eV/f.u.
# Total moment ... 0.000 μB per formula unit
# Formation energy from the elements ... 0.320 eV/atom